# 1
# LiGaCoSe2 (GGA-PBE, optimized geometry)
data_LiGaCoSe2
_symmetry_space_group_name_H-M 'P 1'
_symmetry_Int_Tables_number 1
_symmetry_space_group_name_Hall 'P 1'
_cell_length_a 5.0363
_cell_length_b 5.0363
_cell_length_c 4.5072
_cell_angle_alpha 90.00
_cell_angle_beta 90.00
_cell_angle_gamma 90.00
loop_
_atom_site_label
_atom_site_type_symbol
_atom_site_fract_x
_atom_site_fract_y
_atom_site_fract_z
Li1 Li 0.0000 0.0000 0.0000
Ga1 Ga 0.0000 0.0000 0.5000
Co1 Co 0.5000 0.5000 0.0000
Se1 Se 0.0000 0.5000 0.5000
Se2 Se 0.5000 0.0000 0.5000
# Formation energy from raw total energies ... 0.654 eV/atom
# DOS(E_F) ... 7.86 states/eV per cell
# SG ... P4/mmm, No. 123


# 2
# KFeRe2 (GGA-PBE, optimized geometry)
data_KFeRe2
_symmetry_space_group_name_H-M 'P 1'
_symmetry_Int_Tables_number 1
_symmetry_space_group_name_Hall 'P 1'
_cell_length_a 2.7320
_cell_length_b 3.9305
_cell_length_c 7.7856
_cell_angle_alpha 90.00
_cell_angle_beta 90.01
_cell_angle_gamma 90.00
loop_
_atom_site_label
_atom_site_type_symbol
_atom_site_fract_x
_atom_site_fract_y
_atom_site_fract_z
K1 K 0.0000 0.0000 0.0000
Fe1 Fe 0.3087 0.5000 0.3370
Re1 Re 0.3891 0.5000 0.6437
Re2 Re 0.7713 0.0000 0.4906
# Distance to the lowest polymorph of the same formula ... 0.0061 eV per atom
# DFT formation energy ... 0.809 eV/atom
# DOS(E_F) ... 2.59 states/eV per cell
# SG ... Pm, No. 6


# 3
# La4ZnCo2 (GGA-PBE, optimized geometry)
data_La4ZnCo2
_symmetry_space_group_name_H-M 'P 1'
_symmetry_Int_Tables_number 1
_symmetry_space_group_name_Hall 'P 1'
_cell_length_a 5.1960
_cell_length_b 5.1960
_cell_length_c 14.6861
_cell_angle_alpha 90.00
_cell_angle_beta 90.00
_cell_angle_gamma 117.56
loop_
_atom_site_label
_atom_site_type_symbol
_atom_site_fract_x
_atom_site_fract_y
_atom_site_fract_z
La1 La 0.0000 0.0000 0.0000
La2 La 0.0000 0.0000 0.5000
La3 La 0.3181 0.6819 0.7500
La4 La 0.3500 0.6500 0.1180
La5 La 0.3500 0.6500 0.3820
La6 La 0.6500 0.3500 0.6180
La7 La 0.6500 0.3500 0.8820
La8 La 0.6819 0.3181 0.2500
Zn1 Zn 0.0210 0.9790 0.2500
Zn2 Zn 0.9790 0.0210 0.7500
Co1 Co 0.2947 0.7053 0.5545
Co2 Co 0.2947 0.7053 0.9455
Co3 Co 0.7053 0.2947 0.0545
Co4 Co 0.7053 0.2947 0.4455
# DFT formation energy ... -0.075 eV/atom
# DOS(E_F) ... 14.01 states/eV per cell
# SG ... Cmcm, No. 63


What is the DOS(E_F) in the first record? 7.86 states/eV per cell


Look up the DOS(E_F) of the first one. 7.86 states/eV per cell


What did the second record say?
# KFeRe2 (GGA-PBE, optimized geometry)
data_KFeRe2
_symmetry_space_group_name_H-M 'P 1'
_symmetry_Int_Tables_number 1
_symmetry_space_group_name_Hall 'P 1'
_cell_length_a 2.7320
_cell_length_b 3.9305
_cell_length_c 7.7856
_cell_angle_alpha 90.00
_cell_angle_beta 90.01
_cell_angle_gamma 90.00
loop_
_atom_site_label
_atom_site_type_symbol
_atom_site_fract_x
_atom_site_fract_y
_atom_site_fract_z
K1 K 0.0000 0.0000 0.0000
Fe1 Fe 0.3087 0.5000 0.3370
Re1 Re 0.3891 0.5000 0.6437
Re2 Re 0.7713 0.0000 0.4906
# Distance to the lowest polymorph of the same formula ... 0.0061 eV per atom
# DFT formation energy ... 0.809 eV/atom
# DOS(E_F) ... 2.59 states/eV per cell
# SG ... Pm, No. 6


The lowest DOS(E_F) belongs to which entry? KFeRe2